[1]
## YTm5Cu6 (PBE)

Data for a relaxed YTm5Cu6 crystal.

Cell lengths 4.8635, 14.6029, 6.8076 Å; angles 90.00, 90.00, 90.00 degrees
Space group Cmmm (No. 65)
Symmetry-distinct sites (fractional):
Y (0.0000, 0.0000, 0.0000) (multiplicity 2)
Tm (0.0000, 0.0000, 0.5000) (multiplicity 2)
Tm (0.0000, 0.3327, 0.0000) (multiplicity 4)
Tm (0.0000, 0.3339, 0.5000) (multiplicity 4)
Cu (0.0000, 0.1688, 0.2517) (multiplicity 8)
Cu (0.0000, 0.5000, 0.2564) (multiplicity 4)

Values from the calculation:
Calculated formation energy = -0.2862 eV/atom
Final energy = -4.736 eV/atom

[2]
## KNa2BiOs (PBE)

Data for a relaxed KNa2BiOs crystal.

Cell lengths 5.0780, 5.0780, 5.9597 Å; angles 90.00, 90.00, 90.00 degrees
Space group P4/mmm (No. 123)
Symmetry-distinct sites (fractional):
K (0.0000, 0.0000, 0.0000) (multiplicity 1)
Na (0.0000, 0.5000, 0.0000) (multiplicity 2)
Bi (0.0000, 0.0000, 0.5000) (multiplicity 1)
Os (0.5000, 0.5000, 0.5000) (multiplicity 1)

Values from the calculation:
Calculated formation energy = 1.6857 eV/atom
Final energy = -2.084 eV/atom

[3]
## Tb2NdPaAs4 (PBE)

Data for a relaxed Tb2NdPaAs4 crystal.

Cell lengths 7.1713, 4.1608, 7.2076 Å; angles 90.00, 109.47, 90.00 degrees
Space group P2/m (No. 10)
Symmetry-distinct sites (fractional):
Tb (0.0000, 0.0000, 0.0000) (multiplicity 1)
Tb (0.0000, 0.5000, 0.5000) (multiplicity 1)
Nd (0.5000, 0.0000, 0.5000) (multiplicity 1)
Pa (0.5000, 0.5000, 0.0000) (multiplicity 1)
As (0.2480, 0.5000, 0.2406) (multiplicity 2)
As (0.2510, 0.0000, 0.7568) (multiplicity 2)

Values from the calculation:
Calculated formation energy = -1.4111 eV/atom
Final energy = -6.676 eV/atom

[4]
## PmEr4PbS8 (PBE)

Data for a relaxed PmEr4PbS8 crystal.

Cell lengths 8.0738, 8.0738, 20.2243 Å; angles 90.00, 90.00, 120.00 degrees
Space group R3m (No. 160, hexagonal axes)
Symmetry-distinct sites (fractional):
Pm (0.0000, 0.0000, 0.0000) (multiplicity 3)
Er (0.0000, 0.0000, 0.6238) (multiplicity 3)
Er (0.1689, 0.3378, 0.8305) (multiplicity 9)
Pb (0.0000, 0.0000, 0.3710) (multiplicity 3)
S (0.0000, 0.0000, 0.2321) (multiplicity 3)
S (0.0000, 0.0000, 0.7558) (multiplicity 3)
S (0.0306, 0.5153, 0.7560) (multiplicity 9)
S (0.1741, 0.3482, 0.5762) (multiplicity 9)

Values from the calculation:
Formation energy from raw total energies = -1757 meV/atom
Final energy = -6.024 eV/atom

[5]
## GaTc3 (PBE)

Data for a relaxed GaTc3 crystal.

Cell lengths 9.3631, 2.9227, 9.0411 Å; angles 90.00, 110.40, 90.00 degrees
Space group C2/m (No. 12)
Symmetry-distinct sites (fractional):
Ga (0.1130, 0.0000, 0.2085) (multiplicity 4)
Tc (0.1194, 0.5000, 0.4593) (multiplicity 4)
Tc (0.1291, 0.5000, 0.9637) (multiplicity 4)
Tc (0.1392, 0.0000, 0.7127) (multiplicity 4)

Values from the calculation:
Offset from the most stable computed form = 0.0 meV per atom
Calculated formation energy = -0.0912 eV/atom
Final energy = -8.622 eV/atom

[6]
## TaMnAu2 (PBE)

Data for a relaxed TaMnAu2 crystal.

Cell lengths 5.7480, 8.1352, 2.9127 Å; angles 90.00, 90.00, 90.00 degrees
Space group Cmmm (No. 65)
Symmetry-distinct sites (fractional):
Ta (0.0000, 0.0000, 0.0000) (multiplicity 2)
Mn (0.0000, 0.5000, 0.0000) (multiplicity 2)
Au (0.2500, 0.2500, 0.5000) (multiplicity 4)

Values from the calculation:
Calculated formation energy = 0.0825 eV/atom
Final energy = -6.812 eV/atom

[7]
## Fe7P (PBE)

Data for a relaxed Fe7P crystal.

Cell lengths 7.1738, 7.1738, 7.1738 Å; angles 90.00, 90.00, 90.00 degrees
Space group Fm-3m (No. 225)
Symmetry-distinct sites (fractional):
Fe (0.0000, 0.0000, 0.0000) (multiplicity 4)
Fe (0.0000, 0.2500, 0.2500) (multiplicity 24)
P (0.0000, 0.0000, 0.5000) (multiplicity 4)

Values from the calculation:
Calculated formation energy = 0.0093 eV/atom
Final energy = -8.072 eV/atom

[8]
## PrTlSnS3 (PBE)

Data for a relaxed PrTlSnS3 crystal.

Cell lengths 7.8719, 4.1799, 10.3436 Å; angles 90.00, 92.65, 90.00 degrees
Space group P2_1/m (No. 11)
Symmetry-distinct sites (fractional):
Pr (0.0859, 0.2500, 0.1676) (multiplicity 2)
Tl (0.4144, 0.2500, 0.8272) (multiplicity 2)
Sn (0.2419, 0.7500, 0.4812) (multiplicity 2)
S (0.0409, 0.2500, 0.6713) (multiplicity 2)
S (0.2140, 0.7500, 0.0081) (multiplicity 2)
S (0.3728, 0.2500, 0.3445) (multiplicity 2)

Values from the calculation:
Formation energy from raw total energies = -1100 meV/atom
Final energy = -5.022 eV/atom

[9]
## ScI2NO (PBE)

Data for a relaxed ScI2NO crystal.

Cell lengths 5.2116, 5.2116, 4.1548 Å; angles 90.00, 90.00, 90.00 degrees
Space group P4/mmm (No. 123)
Symmetry-distinct sites (fractional):
Sc (0.0000, 0.0000, 0.0000) (multiplicity 1)
I (0.0000, 0.5000, 0.5000) (multiplicity 2)
N (0.0000, 0.0000, 0.5000) (multiplicity 1)
O (0.5000, 0.5000, 0.0000) (multiplicity 1)

Values from the calculation:
Formation energy from raw total energies = 342 meV/atom
Offset from the most stable computed form = 449.0 meV per atom
Final energy = -4.201 eV/atom

[10]
## Tl2HgRh (PBE)

Data for a relaxed Tl2HgRh crystal.

Cell lengths 3.4111, 3.4111, 28.3587 Å; angles 90.00, 90.00, 120.00 degrees
Space group R3m (No. 160, hexagonal axes)
Symmetry-distinct sites (fractional):
Tl (0.0000, 0.0000, 0.0000) (multiplicity 3)
Tl (0.0000, 0.0000, 0.1919) (multiplicity 3)
Hg (0.0000, 0.0000, 0.4292) (multiplicity 3)
Rh (0.0000, 0.0000, 0.5959) (multiplicity 3)

Values from the calculation:
Offset from the most stable computed form = 106.6 meV per atom
Calculated formation energy = 0.1559 eV/atom
Final energy = -2.941 eV/atom

[11]
## BaCa2Br (PBE)

Data for a relaxed BaCa2Br crystal.

Cell lengths 4.0375, 4.0375, 33.6611 Å; angles 90.00, 90.00, 120.00 degrees
Space group R-3m (No. 166, hexagonal axes)
Symmetry-distinct sites (fractional):
Ba (0.0000, 0.0000, 0.0000) (multiplicity 3)
Ca (0.0000, 0.0000, 0.2331) (multiplicity 6)
Br (0.0000, 0.0000, 0.5000) (multiplicity 3)

Values from the calculation:
Formation energy from raw total energies = -654 meV/atom
Final energy = -2.554 eV/atom

[12]
## Ni21Sb2P6 (PBE)

Data for a relaxed Ni21Sb2P6 crystal.

Cell lengths 11.1308, 11.1308, 11.1308 Å; angles 90.00, 90.00, 90.00 degrees
Space group Fm-3m (No. 225)
Symmetry-distinct sites (fractional):
Ni (0.0000, 0.0000, 0.0000) (multiplicity 4)
Ni (0.0000, 0.1736, 0.1736) (multiplicity 48)
Ni (0.1174, 0.1174, 0.3826) (multiplicity 32)
Sb (0.2500, 0.2500, 0.2500) (multiplicity 8)
P (0.0000, 0.0000, 0.2625) (multiplicity 24)

Values from the calculation:
Formation energy from raw total energies = -394 meV/atom
Final energy = -5.984 eV/atom